Entry 1:
Material: CoPd2N
Method: DFT, GGA-PBE
State: relaxed

```
8
Lattice="4.912 0.000 0.000 0.000 4.912 0.000 2.456 2.456 5.437" Properties=species:S:1:pos:R:3 pbc="T T T"
Co 0.000 0.000 0.000
Pd 3.684 4.146 4.078
Co 4.912 2.456 2.719
Pd 3.223 1.228 1.359
Pd 1.690 3.684 1.359
Pd 6.140 5.679 4.078
N 2.456 2.456 0.000
N 2.456 4.912 2.719
```

Entry 2:
4
Lattice="1.751 0.000 5.828 -0.876 1.517 5.828 -0.876 -1.517 5.828" Properties=species:S:1:pos:R:3 comment="CoPdN2 | Alexandria | GGA-PBE | relaxed" relative_energy_mev_per_atom=426 pbc="T T T"
N 0.000 0.000 15.721
Pd 0.000 0.000 8.742
Co 0.000 0.000 0.000
N 0.000 0.000 1.764

Entry 3:
5
Lattice="4.114 0.000 0.000 0.000 4.114 0.000 0.000 0.000 4.114" Properties=species:S:1:pos:R:3 comment="CoPd3N | Alexandria | GGA-PBE | relaxed" relative_energy_mev_per_atom=0 pbc="T T T"
Pd 0.000 0.000 2.057
Pd 2.057 0.000 0.000
Pd 0.000 2.057 0.000
Co 2.057 2.057 2.057
N 0.000 0.000 0.000

Computed uncorrected formation energy, in the same sequence as the records: 958, 928, 462 meV per atom.